A geometry-optimized PaGaCo2O8 structure. Source: Alexandria, functional PBE+U.

mass density	6056	kg/m³
final energy	-80.84	eV/f.u.
calculated volume	12.49	Å³/atom
magnetization	10.0	μB per formula unit

a = 5.7968 Å, b = 5.7968 Å, c = 5.7968 Å
α = 108.85°, β = 108.85°, γ = 110.72°
Last column: nearest neighbours and their distance in Å.
Element x y z (fractional)
Pa (0.0000, 0.0000, 0.0000)  4 O 2.13
O (0.4800, 0.6837, 0.7963)  1 Co 1.83, 1 Ga 2.05
Co (0.7500, 0.2500, 0.5000)  4 O 1.76
O (0.3163, 0.1126, 0.7963)  1 Co 1.83, 1 Ga 2.05
O (0.9314, 0.6235, 0.6921)  1 Co 1.76
O (0.3765, 0.0686, 0.3079)  1 Co 1.76
O (0.3163, 0.5200, 0.2037)  1 Co 1.83, 1 Ga 2.05
O (0.7607, 0.0686, 0.6921)  1 Co 1.76
Co (0.5000, 0.5000, 0.0000)  4 O 1.83
O (0.9314, 0.2393, 0.3079)  1 Co 1.76
Ga (0.2500, 0.7500, 0.5000)  4 O 2.05
O (0.8874, 0.6837, 0.2037)  1 Co 1.83, 1 Ga 2.05